No. 1
VASP calculation (PBE) on a relaxed structure of Sr3La12H5.

Cell lengths 14.9086, 14.9086, 14.9086 Å; angles 109.47, 109.47, 109.47 degrees
Fractional coordinates of all 80 atoms:
H 0.5000 0.5000 0.0000
Sr 0.8750 0.7500 0.1250
H 0.3750 0.1250 0.7500
H 0.1250 0.3750 0.2500
La 0.4090 0.0091 0.8124
Sr 0.3750 0.7500 0.6250
Sr 0.7500 0.8750 0.6250
La 0.3033 0.8124 0.4034
La 0.1001 0.1967 0.5091
H 0.0000 0.5000 0.5000
Sr 0.8750 0.1250 0.2500
La 0.3033 0.4909 0.3999
La 0.0910 0.4034 0.1001
La 0.1876 0.4909 0.5910
La 0.6967 0.5091 0.6001
La 0.1001 0.9034 0.0910
La 0.0091 0.4090 0.3124
La 0.6001 0.0091 0.6967
La 0.9909 0.3999 0.8033
La 0.3124 0.4034 0.8033
Sr 0.1250 0.2500 0.8750
H 0.5000 0.0000 0.0000
Sr 0.6250 0.2500 0.3750
H 0.6250 0.8750 0.2500
La 0.4034 0.3124 0.3033
La 0.3999 0.4090 0.5966
La 0.0910 0.6876 0.4909
La 0.0966 0.1967 0.1876
La 0.9034 0.1001 0.5910
La 0.5091 0.6967 0.1001
La 0.6001 0.5910 0.4034
H 0.0000 0.0000 0.5000
H 0.2500 0.8750 0.1250
Sr 0.1250 0.8750 0.7500
H 0.7500 0.6250 0.3750
H 0.5000 0.5000 0.5000
La 0.9090 0.5966 0.8999
La 0.9090 0.3124 0.5091
H 0.1250 0.7500 0.3750
Sr 0.2500 0.1250 0.3750
Sr 0.2500 0.6250 0.8750
La 0.8999 0.8033 0.4909
H 0.0000 0.0000 0.0000
La 0.4909 0.1876 0.0910
La 0.8999 0.0966 0.9090
H 0.3750 0.2500 0.1250
La 0.4090 0.3999 0.0966
La 0.8033 0.9034 0.3124
La 0.3999 0.9909 0.3033
La 0.6876 0.0910 0.9909
La 0.9034 0.8033 0.8124
H 0.8750 0.2500 0.6250
H 0.5000 0.0000 0.5000
La 0.1876 0.6967 0.0966
H 0.8750 0.6250 0.7500
La 0.5910 0.6001 0.9034
La 0.0966 0.8999 0.4090
La 0.9909 0.5910 0.6876
La 0.5910 0.9909 0.1876
La 0.8033 0.8999 0.9909
H 0.0000 0.5000 0.0000
La 0.4909 0.3033 0.8999
La 0.1967 0.0966 0.6876
H 0.7500 0.1250 0.8750
La 0.6876 0.5966 0.1967
La 0.0091 0.6001 0.1967
La 0.3124 0.9090 0.0091
La 0.4034 0.0910 0.6001
H 0.2500 0.3750 0.6250
La 0.5966 0.9090 0.3999
La 0.1967 0.1001 0.0091
La 0.6967 0.1876 0.5966
Sr 0.6250 0.3750 0.7500
H 0.6250 0.7500 0.8750
Sr 0.7500 0.3750 0.1250
Sr 0.3750 0.6250 0.2500
La 0.5091 0.8124 0.9090
La 0.8124 0.5091 0.4090
La 0.5966 0.6876 0.6967
La 0.8124 0.3033 0.9034

Computed properties:
Space group: Ia-3d, No. 230
E_tot, eV per atom: -4.00

No. 2
VASP calculation (PBE) on a relaxed structure of SrLaH.

Cell lengths 7.6260, 6.8522, 6.7466 Å; angles 69.52, 90.00, 90.00 degrees
Fractional coordinates of all 12 atoms:
La 0.6288 0.0098 0.2569
Sr 0.6212 0.4965 0.7423
H 0.1225 0.7814 0.9876
Sr 0.3788 0.5035 0.2577
Sr 0.8788 0.4965 0.2423
H 0.3775 0.7814 0.4876
H 0.8775 0.2186 0.0124
H 0.6225 0.2186 0.5124
Sr 0.1212 0.5035 0.7577
La 0.3712 0.9902 0.7431
La 0.8712 0.0098 0.7569
La 0.1288 0.9902 0.2431

Computed properties:
Space group: P2_1/c, No. 14
E_tot, eV per atom: -3.49
Energy relative to the lowest polymorph listed for this composition, eV/atom: 0.000

No. 3
VASP calculation (PBE) on a relaxed structure of Sr2LaH4.

Cell lengths 4.5709, 4.5709, 7.5184 Å; angles 72.30, 72.30, 90.00 degrees
Fractional coordinates of all 7 atoms:
La 0.0000 0.0000 0.0000
H 0.5000 0.0000 0.0000
H 0.8235 0.8235 0.3530
Sr 0.6453 0.6453 0.7093
Sr 0.3547 0.3547 0.2907
H 0.0000 0.5000 0.0000
H 0.1765 0.1765 0.6470

Computed properties:
Space group: I4/mmm, No. 139
E_tot, eV per atom: -3.38

No. 4
VASP calculation (PBE) on a relaxed structure of SrLaH2.

Cell lengths 3.9971, 3.9971, 7.0275 Å; angles 73.48, 73.48, 60.00 degrees
Last column: magnetic moment on the atom in μB.
Fractional coordinates of all 4 atoms:
H 0.3344 0.3344 0.9969  0.00
H 0.0461 0.0461 0.8616  -0.01
Sr 0.4669 0.4669 0.5992  0.10
La 0.6525 0.6525 0.0424  0.25

Computed properties:
Space group: R3m, No. 160
E_tot, eV per atom: -3.62
Energy relative to the lowest polymorph listed for this composition, eV/atom: 0.000

No. 5
VASP calculation (PBE) on a relaxed structure of Sr2LaH.

Cell lengths 7.6482, 7.6482, 7.3884 Å; angles 58.83, 58.83, 90.00 degrees
Last column: magnetic moment on the atom in μB.
Fractional coordinates of all 8 atoms:
La 0.7500 0.2500 0.5000  0.28
Sr 0.2993 0.6250 0.2500  0.02
Sr 0.3750 0.5493 0.7500  0.02
La 0.0000 0.0000 0.0000  0.28
Sr 0.4507 0.1250 0.2500  0.02
H 0.2500 0.7500 0.5000  0.00
H 0.5000 0.5000 0.0000  0.00
Sr 0.8750 0.7007 0.7500  0.02

Computed properties:
Space group: I-42d, No. 122
E_tot, eV per atom: -2.87
Energy relative to the lowest polymorph listed for this composition, eV/atom: 0.000

No. 6
VASP calculation (PBE) on a relaxed structure of SrLa2H.

Cell lengths 7.5741, 7.5741, 7.1799 Å; angles 58.17, 58.17, 90.00 degrees
Fractional coordinates of all 8 atoms:
La 0.8750 0.7016 0.7500
H 0.5000 0.5000 0.0000
La 0.4516 0.1250 0.2500
Sr 0.0000 0.0000 0.0000
La 0.2984 0.6250 0.2500
H 0.2500 0.7500 0.5000
Sr 0.7500 0.2500 0.5000
La 0.3750 0.5484 0.7500

Computed properties:
Space group: I-42d, No. 122
E_tot, eV per atom: -3.80
Energy relative to the lowest polymorph listed for this composition, eV/atom: 0.000

Question: Which formula does entry 5 have?
Answer: Sr2LaH

Question: The highest E_tot belongs to which entry?
Answer: Sr2LaH

Question: Look up the E_tot of the first one.
Answer: -4.00 eV per atom

Question: Number 2 is which compound?
Answer: SrLaH